This record from Alexandria via LeMat-Bulk describes crystalline TiNb2Au at its relaxed geometry. The functional is PBE.

It has space group P4/mmm (No. 123), with a = 3.938 Å, b = 3.938 Å, c = 4.532 Å, α = 90.00°, β = 90.00° and γ = 90.00°. Symmetry generates all atoms from Ti at (0.000, 0.000, 0.000), Nb at (0.000, 0.500, 0.500) and Au at (0.500, 0.500, 0.000).

The value obtained for the energy is -31.8 eV for the cell shown. For the calculated formation energy, the calculation gives -0.1320 eV/atom.